1.
A plane-wave DFT calculation with PBE was carried out for crystalline YAs2Ru at its relaxed geometry.

Results
- Energy relative to the lowest polymorph listed for this composition: 0.307 eV per atom
- Uncorrected energy: -26.72 eV/f.u.
- DFT formation energy: -419 meV per atom

Cell lengths 4.4437, 4.3438, 4.2537 Å; angles 83.46, 90.00, 90.00 degrees
Closest atoms and distances in Å follow each position.
Atoms (fractional coordinates):
1 Y 0.5000 0.6886 0.8460  7 As 2.86-3.20
2 Ru 0.0000 0.4504 0.3889  4 As 2.43-2.51
3 As 0.0000 0.1715 0.9164  2 Ru 2.43-2.46
4 As 0.5000 0.1895 0.3486  2 Ru 2.51



2.
A plane-wave DFT calculation with PBE was carried out for crystalline Cs3Tb3ScS8 at its relaxed geometry.

Results
- Uncorrected energy: -81.80 eV/f.u.
- Formation energy from raw total energies: -1.733 eV/atom

Cell lengths 8.0333, 8.0373, 9.4296 Å; angles 115.28, 90.00, 119.98 degrees
Closest atoms and distances in Å follow each position.
Atoms (fractional coordinates):
1 Cs 0.0000 0.0000 0.0000  6 S 3.49-3.51
2 Cs 0.0000 0.5000 0.0000  6 S 3.49-3.51
3 Cs 0.5000 0.5000 0.0000  6 S 3.49-3.51
4 Tb 0.5000 0.0000 0.5000  6 S 2.76-2.77
5 Tb 0.5000 0.5000 0.5000  6 S 2.76-2.77
6 Tb 0.0000 0.5000 0.5000  6 S 2.76-2.77
7 Sc 0.0000 0.0000 0.5000  6 S 2.64
8 S 0.2724 0.5448 0.3174  3 Tb 2.76
9 S 0.7276 0.4552 0.6826  3 Tb 2.76
10 S 0.7821 0.5642 0.3255  1 Sc 2.64, 2 Tb 2.77
11 S 0.2179 0.4358 0.6745  1 Sc 2.64, 2 Tb 2.77
12 S 0.7822 0.0432 0.3256  1 Sc 2.64, 2 Tb 2.77
13 S 0.2178 0.9568 0.6744  1 Sc 2.64, 2 Tb 2.77
14 S 0.2610 0.0432 0.3256  1 Sc 2.64, 2 Tb 2.77
15 S 0.7390 0.9568 0.6744  1 Sc 2.64, 2 Tb 2.77



3.
A plane-wave DFT calculation with PBE was carried out for crystalline BAs3Pt at its relaxed geometry.

Results
- Energy relative to the lowest polymorph listed for this composition: 0.000 eV per atom
- Uncorrected energy: -23.26 eV/f.u.
- DFT formation energy: 681 meV per atom

Cell lengths 4.3152, 4.3152, 4.3152 Å; angles 90.00, 90.00, 90.00 degrees
Closest atoms and distances in Å follow each position.
Atoms (fractional coordinates):
1 As 0.0000 0.5000 0.0000  2 B 2.16
2 As 0.0000 0.0000 0.5000  2 B 2.16
3 As 0.5000 0.0000 0.0000  2 B 2.16
4 B 0.0000 0.0000 0.0000  6 As 2.16
5 Pt 0.5000 0.5000 0.5000  12 As 3.05



4.
A plane-wave DFT calculation with PBE was carried out for crystalline LaNdThZr at its relaxed geometry.

Results
- Uncorrected energy: -24.86 eV/f.u.
- DFT formation energy: 201 meV per atom

Cell lengths 5.5843, 5.5843, 5.5843 Å; angles 60.00, 60.00, 60.00 degrees
Closest atoms and distances in Å follow each position.
Atoms (fractional coordinates):
1 Nd 0.7500 0.7500 0.7500  4 Th 3.42, 4 La 3.42
2 Zr 0.2500 0.2500 0.2500  4 La 3.42, 4 Th 3.42
3 Th 0.0000 0.0000 0.0000  4 Zr 3.42, 4 Nd 3.42
4 La 0.5000 0.5000 0.5000  4 Nd 3.42, 4 Zr 3.42



5.
A plane-wave DFT calculation with PBE was carried out for crystalline LaSbRh3 at its relaxed geometry.

Results
- Energy relative to the lowest polymorph listed for this composition: 0.006 eV per atom
- Uncorrected energy: -34.10 eV/f.u.
- Formation energy from raw total energies: -0.599 eV/atom

Cell lengths 5.6639, 8.9404, 6.5703 Å; angles 132.87, 115.53, 90.00 degrees
Closest atoms and distances in Å follow each position.
Atoms (fractional coordinates):
1 La 0.2500 0.2598 0.5000  5 Rh 2.78-3.00
2 La 0.7500 0.7402 0.5000  5 Rh 2.78-3.00
3 Sb 0.0000 0.5000 0.0000  6 Rh 2.64-2.68
4 Sb 0.5000 0.0000 0.0000  6 Rh 2.64-2.68
5 Rh 0.8012 0.3012 0.1024  2 Sb 2.68, 4 Rh 2.78-2.83
6 Rh 0.3012 0.3012 0.1024  2 Sb 2.68, 4 Rh 2.78-2.83
7 Rh 0.6988 0.6988 0.8976  2 Sb 2.68, 4 Rh 2.78-2.83
8 Rh 0.1988 0.6988 0.8976  2 Sb 2.68, 4 Rh 2.78-2.83
9 Rh 0.2500 0.9491 0.5000  2 Sb 2.64, 4 Rh 2.78, 1 La 2.78
10 Rh 0.7500 0.0509 0.5000  2 Sb 2.64, 4 Rh 2.78, 1 La 2.78



6.
A plane-wave DFT calculation with PBE was carried out for crystalline CsCeCl3 at its relaxed geometry.

Results
- Energy relative to the lowest polymorph listed for this composition: 0.000 eV per atom
- Uncorrected energy: -22.09 eV/f.u.
- Formation energy from raw total energies: -1.952 eV/atom

Cell lengths 6.6198, 7.9245, 7.9245 Å; angles 120.00, 90.00, 90.00 degrees
Closest atoms and distances in Å follow each position.
Atoms (fractional coordinates):
1 Cs 0.7500 0.3333 0.6667  12 Cl 3.96-3.99
2 Cs 0.2500 0.6667 0.3333  12 Cl 3.96-3.99
3 Ce 0.5000 0.0000 0.0000  6 Cl 2.87
4 Ce 0.0000 0.0000 0.0000  6 Cl 2.87
5 Cl 0.7500 0.8295 0.6590  2 Ce 2.87
6 Cl 0.2500 0.1705 0.8295  2 Ce 2.87
7 Cl 0.7500 0.3410 0.1705  2 Ce 2.87
8 Cl 0.2500 0.6590 0.8295  2 Ce 2.87
9 Cl 0.2500 0.1705 0.3410  2 Ce 2.87
10 Cl 0.7500 0.8295 0.1705  2 Ce 2.87



7.
A plane-wave DFT calculation with PBE was carried out for crystalline PaNbCu2 at its relaxed geometry.

Results
- Energy relative to the lowest polymorph listed for this composition: 0.000 eV per atom
- Uncorrected energy: -27.41 eV/f.u.
- DFT formation energy: 86 meV per atom

Cell lengths 4.1525, 4.0757, 4.0757 Å; angles 90.00, 90.00, 90.00 degrees
Closest atoms and distances in Å follow each position.
Atoms (fractional coordinates):
1 Nb 0.5000 0.5000 0.5000  4 Pa 2.88, 8 Cu 2.91
2 Pa 0.5000 0.0000 0.0000  4 Nb 2.88, 8 Cu 2.91
3 Cu 0.0000 0.0000 0.5000  4 Cu 2.88, 4 Nb 2.91, 4 Pa 2.91
4 Cu 0.0000 0.5000 0.0000  4 Cu 2.88, 4 Nb 2.91, 4 Pa 2.91



8.
A plane-wave DFT calculation with PBE was carried out for crystalline ThScTl2Te4 at its relaxed geometry.

Results
- Uncorrected energy: -37.98 eV/f.u.
- Formation energy from raw total energies: -0.866 eV/atom

Cell lengths 4.3175, 7.5508, 8.7219 Å; angles 106.09, 90.00, 90.00 degrees
Closest atoms and distances in Å follow each position.
Atoms (fractional coordinates):
1 Th 0.5000 0.5000 0.0000  6 Te 3.14-3.16
2 Sc 0.0000 0.0000 0.0000  6 Te 3.01
3 Tl 0.5000 0.0000 0.5000  6 Te 3.40-3.41
4 Tl 0.0000 0.5000 0.5000  6 Te 3.50-3.55
5 Te 0.5000 0.2209 0.2078  2 Sc 3.01, 1 Th 3.14
6 Te 0.5000 0.7791 0.7922  2 Sc 3.01, 1 Th 3.14
7 Te 0.0000 0.2455 0.7804  1 Sc 3.01, 2 Th 3.16
8 Te 0.0000 0.7545 0.2196  1 Sc 3.01, 2 Th 3.16



Look up the uncorrected energy of the fifth one.
-34.10 eV/f.u.



Which of these has the highest uncorrected energy?
CsCeCl3



Among the records above, which one has the highest uncorrected energy?
CsCeCl3



What is the uncorrected energy in the fourth record?
-24.86 eV/f.u.